(1)
MnZn5Pt6 | PBE | optimized geometry

## Properties
SG = Cmmm (65)
Crystal system = orthorhombic
Total energy = -0.358 Ry/atom
Energy of formation = -0.5531 eV per atom

a = 4.0718 Å, b = 7.0956 Å, c = 6.4201 Å
α = 90.00°, β = 71.51°, γ = 90.00°
Positions (direct):
Zn (0.6663, 0.5000, 0.6675)
Zn (0.3348, 0.0000, 0.3303)
Zn (0.0000, 0.5000, 0.0000)
Zn (0.6652, 0.0000, 0.6697)
Zn (0.3337, 0.5000, 0.3325)
Mn (0.0000, 0.0000, 0.0000)
Pt (0.8330, 0.7499, 0.3340)
Pt (0.8330, 0.2501, 0.3340)
Pt (0.5000, 0.2513, 0.0000)
Pt (0.5000, 0.7487, 0.0000)
Pt (0.1670, 0.7499, 0.6660)
Pt (0.1670, 0.2501, 0.6660)


(2)
CaPm3Pd4 | PBE | optimized geometry

## Properties
SG = Im-3m (229)
Crystal system = cubic
Total energy = -0.396 Ry/atom
Energy of formation = -0.7588 eV per atom

a = 6.1980 Å, b = 6.1980 Å, c = 6.1980 Å
α = 109.47°, β = 109.47°, γ = 109.47°
Positions (direct):
Ca (0.0000, 0.0000, 0.0000)
Pd (0.0000, 0.0000, 0.4999)
Pd (0.5001, 0.5001, 0.5001)
Pd (0.4999, 0.0000, 0.0000)
Pd (0.0000, 0.4999, 0.0000)
Pm (0.0000, 0.5000, 0.5000)
Pm (0.5000, 0.0000, 0.5000)
Pm (0.5000, 0.5000, 0.0000)


(3)
Ba6NaTl2 | PBE | optimized geometry

## Properties
SG = Immm (71)
Crystal system = orthorhombic
Total energy = -0.157 Ry/atom
Energy of formation = -0.1810 eV per atom
Energy above the most stable polymorph in this dataset = 0.0 meV/atom

a = 10.7306 Å, b = 10.7306 Å, c = 10.7306 Å
α = 101.51°, β = 110.18°, γ = 117.10°
Positions (direct):
Ba (0.4781, 0.2955, 0.1827)
Ba (0.5219, 0.7045, 0.8173)
Ba (0.8872, 0.7045, 0.1827)
Ba (0.1128, 0.2955, 0.8173)
Ba (0.2105, 0.7691, 0.9796)
Ba (0.7895, 0.2309, 0.0204)
Ba (0.7895, 0.7691, 0.5586)
Ba (0.2105, 0.2309, 0.4414)
Ba (0.3091, 0.9761, 0.6670)
Ba (0.6909, 0.0239, 0.3330)
Ba (0.6909, 0.3580, 0.6670)
Ba (0.3091, 0.6420, 0.3330)
Na (0.0000, 0.5000, 0.5000)
Na (0.0000, 0.0000, 0.0000)
Tl (0.5000, 0.3740, 0.8740)
Tl (0.5000, 0.6260, 0.1260)
Tl (0.3443, 0.0000, 0.3443)
Tl (0.6557, 0.0000, 0.6557)


(4)
AcPmY6 | PBE | optimized geometry

## Properties
SG = P-1 (2)
Crystal system = triclinic
Total energy = -0.427 Ry/atom
Energy of formation = 0.1443 eV per atom
Energy above the most stable polymorph in this dataset = 0.0 meV/atom

a = 8.7631 Å, b = 9.8173 Å, c = 6.5787 Å
α = 41.76°, β = 48.21°, γ = 55.88°
Positions (direct):
Ac (0.5000, 0.5000, 0.5000)
Pm (0.0000, 0.0000, 0.0000)
Y (0.9575, 0.4579, 0.8309)
Y (0.7535, 0.9571, 0.7470)
Y (0.4580, 0.2464, 0.3380)
Y (0.2465, 0.0429, 0.2530)
Y (0.0425, 0.5421, 0.1691)
Y (0.5420, 0.7536, 0.6620)


(5)
HgPb2S3 | PBE | optimized geometry

## Properties
SG = Immm (71)
Formation energy (no corrections) = -329 meV per atom
Crystal system = orthorhombic
Total energy = -0.270 Ry/atom
Energy above the most stable polymorph in this dataset = 18.2 meV/atom

a = 4.1185 Å, b = 5.9726 Å, c = 7.1393 Å
α = 114.73°, β = 106.76°, γ = 90.00°
Positions (direct):
Hg (0.0000, 0.5000, 0.0000)
Pb (0.6658, 0.1658, 0.3316)
Pb (0.3342, 0.8342, 0.6684)
S (0.3479, 0.3479, 0.6958)
S (0.0000, 0.0000, 0.0000)
S (0.6521, 0.6521, 0.3042)


(6)
Mg2Cd9Pb3 | PBE | optimized geometry

## Properties
SG = Immm (71)
Crystal system = orthorhombic
Total energy = -0.118 Ry/atom
Energy of formation = 0.0101 eV per atom

a = 4.8694 Å, b = 8.8935 Å, c = 8.8935 Å
α = 78.54°, β = 74.11°, γ = 74.11°
Positions (direct):
Mg (0.5000, 0.3485, 0.6515)
Mg (0.5000, 0.6515, 0.3485)
Cd (0.0000, 0.5000, 0.5000)
Cd (0.6351, 0.9966, 0.7332)
Cd (0.3649, 0.0034, 0.2668)
Cd (0.6351, 0.7332, 0.9966)
Cd (0.3649, 0.2668, 0.0034)
Cd (0.8590, 0.8576, 0.4245)
Cd (0.1410, 0.1424, 0.5755)
Cd (0.8590, 0.4245, 0.8576)
Cd (0.1410, 0.5755, 0.1424)
Pb (0.0000, 0.0000, 0.0000)
Pb (0.7214, 0.2786, 0.2786)
Pb (0.2786, 0.7214, 0.7214)


(7)
LiCa3Mo | PBE | optimized geometry

## Properties
SG = Pm-3m (221)
Crystal system = cubic
Total energy = -0.188 Ry/atom
Energy of formation = 1.1966 eV per atom
Energy above the most stable polymorph in this dataset = 449.4 meV/atom

a = 5.3106 Å, b = 5.3106 Å, c = 5.3106 Å
α = 90.00°, β = 90.00°, γ = 90.00°
Positions (direct):
Mo (0.5000, 0.5000, 0.5000)
Ca (0.0000, 0.5000, 0.0000)
Ca (0.0000, 0.0000, 0.5000)
Ca (0.5000, 0.0000, 0.0000)
Li (0.0000, 0.0000, 0.0000)


(8)
BP2Au | PBE | optimized geometry

## Properties
SG = C2 (5)
Crystal system = monoclinic
Total energy = -0.377 Ry/atom
Energy of formation = 0.0695 eV per atom

a = 6.0493 Å, b = 5.0485 Å, c = 4.5959 Å
α = 90.00°, β = 91.01°, γ = 90.00°
Positions (direct):
P (0.1351, 0.5136, 0.3428)
P (0.8649, 0.5136, 0.6572)
P (0.1351, 0.0136, 0.8428)
P (0.8649, 0.0136, 0.1572)
B (0.0000, 0.6866, 0.0000)
B (0.0000, 0.1866, 0.5000)
Au (0.5000, 0.5998, 0.5000)
Au (0.5000, 0.0998, 0.0000)


no.,calculated volume (Å³ per cell)
1,175.92
2,183.29
3,933.64
4,278.76
5,151.26
6,353.08
7,149.77
8,140.34